# CaTlMo

An optimized crystal structure of CaTlMo (PBE, Alexandria via LeMat-Bulk).

- Energy above the most stable polymorph in this dataset: 0 meV per atom
- Energy relative to the elements: 0.538 eV/atom
- Uncorrected energy: -4.528 eV per atom
- N(E_F): 0.63 states/eV/atom
- M_tot: 0.00 μB per formula unit

Cell lengths 3.0348, 3.0348, 14.5994 Å; angles 90.00, 90.00, 90.00 degrees
Space group I4mm (No. 107)
One atom of each set of equivalent atoms:
Ca (0.0000, 0.0000, 0.0000) (multiplicity 2)
Tl (0.0000, 0.0000, 0.3177) (multiplicity 2)
Mo (0.0000, 0.0000, 0.6663) (multiplicity 2)